# 1
VASP calculation (SCAN) on a PBEsol-optimized structure of Tb3Eu.

Calculated values
Calculated total energy: -193.58 eV/cell
Relative energy among the computed polymorphs: 5 meV per atom

Lattice parameters (Å, degrees): 4.988 4.988 4.988 90.00 90.00 90.00
Space group Pm-3m (No. 221)
Inequivalent atoms, fractional coordinates:
Tb (0.000, 0.000, 0.500) [3 per cell]
Eu (0.500, 0.500, 0.500) [1 per cell]

# 2
VASP calculation (SCAN) on a PBEsol-optimized structure of MgCrTe2.

Calculated values
ΔE_f (raw): -0.586 eV/atom
Calculated total energy: -300.62 eV/cell

Lattice parameters (Å, degrees): 4.0828 4.0828 19.9576 90.00 90.00 120.00
Space group R-3m (No. 166, hexagonal axes)
Inequivalent atoms, fractional coordinates:
Mg (0.0000, 0.0000, 0.0000) [3 per cell]
Cr (0.0000, 0.0000, 0.5000) [3 per cell]
Te (0.0000, 0.0000, 0.2439) [6 per cell]

# 3
VASP calculation (SCAN) on a PBEsol-optimized structure of AsPOsCl2.

Calculated values
ΔE_f (raw): 1.377 eV/atom
Calculated total energy: -111.54 eV/cell

Lattice parameters (Å, degrees): 4.586 4.586 5.125 90.00 90.00 90.00
Space group P4/mmm (No. 123)
Inequivalent atoms, fractional coordinates:
As (0.000, 0.000, 0.000) [1 per cell]
P (0.000, 0.000, 0.500) [1 per cell]
Os (0.500, 0.500, 0.500) [1 per cell]
Cl (0.000, 0.500, 0.000) [2 per cell]

# 4
VASP calculation (SCAN) on a PBEsol-optimized structure of ReAs2PdBr.

Calculated values
ΔE_f (raw): 0.790 eV/atom
Calculated total energy: -159.76 eV/cell
Relative energy among the computed polymorphs: 0 meV per atom

Lattice parameters (Å, degrees): 4.654 4.654 5.326 90.00 90.00 90.00
Space group P4/mmm (No. 123)
Inequivalent atoms, fractional coordinates:
Re (0.000, 0.000, 0.000) [1 per cell]
As (0.000, 0.500, 0.000) [2 per cell]
Pd (0.500, 0.500, 0.500) [1 per cell]
Br (0.000, 0.000, 0.500) [1 per cell]

# 5
VASP calculation (SCAN) on a PBEsol-optimized structure of Tl2NiW.

Calculated values
Calculated total energy: -453.44 eV/cell
Relative energy among the computed polymorphs: 386 meV per atom

Lattice parameters (Å, degrees): 9.878 3.008 5.169 90.00 112.62 90.00
Space group C2/m (No. 12)
Inequivalent atoms, fractional coordinates:
Tl (0.228, 0.000, 0.233) [4 per cell]
Ni (0.000, 0.500, 0.000) [2 per cell]
W (0.000, 0.000, 0.500) [2 per cell]

# 6
VASP calculation (SCAN) on a PBEsol-optimized structure of OsRu2Cl.

Calculated values
ΔE_f (raw): 0.751 eV/atom
Calculated total energy: -146.51 eV/cell
Relative energy among the computed polymorphs: 242 meV per atom

Lattice parameters (Å, degrees): 2.787 3.899 5.183 90.00 104.90 90.00
Space group P2/m (No. 10)
Inequivalent atoms, fractional coordinates:
Os (0.000, 0.000, 0.000) [1 per cell]
Ru (0.366, 0.500, 0.743) [2 per cell]
Cl (0.000, 0.000, 0.500) [1 per cell]

# 7
VASP calculation (SCAN) on a PBEsol-optimized structure of La2NiPt.

Calculated values
Calculated total energy: -526.65 eV/cell

Lattice parameters (Å, degrees): 4.1160 4.1160 20.1191 90.00 90.00 120.00
Space group R-3m (No. 166, hexagonal axes)
Inequivalent atoms, fractional coordinates:
La (0.0000, 0.0000, 0.2476) [6 per cell]
Ni (0.0000, 0.0000, 0.5000) [3 per cell]
Pt (0.0000, 0.0000, 0.0000) [3 per cell]

# 8
VASP calculation (SCAN) on a PBEsol-optimized structure of ZrGa2Co.

Calculated values
Calculated total energy: -1660.22 eV/cell

Lattice parameters (Å, degrees): 12.148 12.148 8.040 90.00 90.00 90.00
Space group I4mm (No. 107)
Inequivalent atoms, fractional coordinates:
Zr (0.000, 0.000, 0.000) [2 per cell]
Zr (0.000, 0.000, 0.463) [2 per cell]
Zr (0.000, 0.281, 0.392) [8 per cell]
Zr (0.201, 0.201, 0.880) [8 per cell]
Ga (0.000, 0.163, 0.718) [8 per cell]
Ga (0.000, 0.384, 0.869) [8 per cell]
Ga (0.132, 0.132, 0.224) [8 per cell]
Ga (0.140, 0.352, 0.129) [16 per cell]
Co (0.000, 0.217, 0.031) [8 per cell]
Co (0.000, 0.500, 0.121) [4 per cell]
Co (0.162, 0.162, 0.536) [8 per cell]

# 9
VASP calculation (SCAN) on a PBEsol-optimized structure of Sr3CaAl8.

Calculated values
Calculated total energy: -425.47 eV/cell

Lattice parameters (Å, degrees): 5.7608 5.7608 28.1443 90.00 90.00 120.00
Space group R3m (No. 160, hexagonal axes)
Inequivalent atoms, fractional coordinates:
Sr (0.0000, 0.0000, 0.0000) [3 per cell]
Sr (0.0000, 0.0000, 0.1251) [3 per cell]
Sr (0.0000, 0.0000, 0.5009) [3 per cell]
Ca (0.0000, 0.0000, 0.6253) [3 per cell]
Al (0.0000, 0.0000, 0.3128) [3 per cell]
Al (0.0000, 0.0000, 0.8127) [3 per cell]
Al (0.0003, 0.5001, 0.5637) [9 per cell]
Al (0.1670, 0.3341, 0.3952) [9 per cell]

# 10
VASP calculation (SCAN) on a PBEsol-optimized structure of LaAuBr2.

Calculated values
ΔE_f (raw): -1.314 eV/atom
Calculated total energy: -625.75 eV/cell
Relative energy among the computed polymorphs: 0 meV per atom

Lattice parameters (Å, degrees): 7.325 7.325 7.325 90.00 90.00 90.00
Space group F-43m (No. 216)
Inequivalent atoms, fractional coordinates:
La (0.000, 0.000, 0.000) [4 per cell]
Au (0.250, 0.250, 0.250) [4 per cell]
Br (0.000, 0.000, 0.500) [4 per cell]
Br (0.250, 0.250, 0.750) [4 per cell]

# 11
VASP calculation (SCAN) on a PBEsol-optimized structure of GdMgB5O10.

Calculated values
ΔE_f (raw): -2.932 eV/atom
Calculated total energy: -852.34 eV/cell

Lattice parameters (Å, degrees): 8.596 7.593 12.352 90.00 130.73 90.00
Space group P2_1/c (No. 14)
Inequivalent atoms, fractional coordinates:
Gd (0.052, 0.187, 0.238) [4 per cell]
Mg (0.475, 0.590, 0.873) [4 per cell]
B (0.089, 0.672, 0.606) [4 per cell]
B (0.154, 0.599, 0.998) [4 per cell]
B (0.276, 0.031, 0.053) [4 per cell]
B (0.345, 0.578, 0.261) [4 per cell]
B (0.478, 0.189, 0.912) [4 per cell]
O (0.025, 0.727, 0.982) [4 per cell]
O (0.090, 0.105, 0.915) [4 per cell]
O (0.117, 0.547, 0.878) [4 per cell]
O (0.200, 0.713, 0.234) [4 per cell]
O (0.235, 0.527, 0.648) [4 per cell]
O (0.314, 0.088, 0.806) [4 per cell]
O (0.315, 0.535, 0.130) [4 per cell]
O (0.324, 0.629, 0.508) [4 per cell]
O (0.423, 0.149, 0.427) [4 per cell]
O (0.450, 0.151, 0.131) [4 per cell]

# 12
VASP calculation (SCAN) on a PBEsol-optimized structure of Tl2CdCl.

Calculated values
ΔE_f (raw): -0.422 eV/atom
Calculated total energy: -184.80 eV/cell
Relative energy among the computed polymorphs: 0 meV per atom

Lattice parameters (Å, degrees): 3.978 6.020 4.652 90.00 90.00 90.00
Space group Pmm2 (No. 25)
Inequivalent atoms, fractional coordinates:
Tl (0.000, 0.000, 0.000) [1 per cell]
Tl (0.500, 0.500, 0.499) [1 per cell]
Cd (0.000, 0.500, 0.999) [1 per cell]
Cl (0.500, 0.000, 0.500) [1 per cell]